## CaPPt3 (PBE)

Data for an optimized crystal structure of CaPPt3.

Results
- DFT formation energy (eV per atom) = -0.864
- SG = No. 107
- VASP energy (eV for the cell shown) = -29.9
- crystal system = tetragonal

a = 6.154 Å, b = 6.154 Å, c = 6.154 Å
α = 141.66°, β = 141.66°, γ = 55.34°
Fractional positions:
Pt  0.251  0.751  0.500
Pt  0.751  0.251  0.500
Pt  0.570  0.570  0.000
Ca  0.992  0.992  0.000
P  0.366  0.366  0.000